Compound: NaCa2PaBi4
Source: Alexandria
Functional: PBE
Structure: optimized geometry

Output
energy of formation from the pure elements	-0.4142	eV/atom

The structure in CIF format:
```
data_NaCa2PaBi4
_space_group_name_H-M_alt 'P m m m'
_space_group_IT_number 47
_cell_length_a 5.348
_cell_length_b 5.396
_cell_length_c 8.304
_cell_angle_alpha 90.00
_cell_angle_beta 90.00
_cell_angle_gamma 90.00
loop_
_space_group_symop_operation_xyz
'x,y,z'
'-x,-y,-z'
'-x,-y,z'
'x,y,-z'
'x,-y,-z'
'-x,y,z'
'-x,y,-z'
'x,-y,z'
loop_
_atom_site_label
_atom_site_fract_x
_atom_site_fract_y
_atom_site_fract_z
Na1 0.000 0.000 0.000
Ca1 0.000 0.000 0.500
Ca2 0.500 0.500 0.500
Pa1 0.500 0.500 0.000
Bi1 0.000 0.500 0.238
Bi2 0.500 0.000 0.238
```

=====

Compound: NaCaBiPb
Source: Alexandria
Functional: PBE
Structure: optimized geometry

Output
energy of formation from the pure elements	-0.3967	eV/atom
ΔE to the lowest computed polymorph	57	meV per atom

The structure in CIF format:
```
data_NaCaBiPb
_space_group_name_H-M_alt 'F -4 3 m'
_space_group_IT_number 216
_space_group_name_Hall 'F -4 2 3'
_cell_length_a 7.834
_cell_length_b 7.834
_cell_length_c 7.834
_cell_angle_alpha 90.00
_cell_angle_beta 90.00
_cell_angle_gamma 90.00
loop_
_atom_site_label
_atom_site_fract_x
_atom_site_fract_y
_atom_site_fract_z
Na1 0.000 0.000 0.000
Ca1 0.000 0.000 0.500
Bi1 0.250 0.250 0.750
Pb1 0.250 0.250 0.250
```

=====

Compound: NaCaBiPb
Source: Alexandria
Functional: PBE
Structure: optimized geometry

Output
energy of formation from the pure elements	-0.4536	eV/atom
ΔE to the lowest computed polymorph	0	meV per atom

The structure in CIF format:
```
data_NaCaBiPb
_space_group_name_H-M_alt 'P m m m'
_space_group_IT_number 47
_cell_length_a 4.691
_cell_length_b 4.892
_cell_length_c 5.155
_cell_angle_alpha 90.00
_cell_angle_beta 90.00
_cell_angle_gamma 90.00
loop_
_space_group_symop_operation_xyz
'x,y,z'
'-x,-y,-z'
'-x,-y,z'
'x,y,-z'
'x,-y,-z'
'-x,y,z'
'-x,y,-z'
'x,-y,z'
loop_
_atom_site_label
_atom_site_fract_x
_atom_site_fract_y
_atom_site_fract_z
Na1 0.000 0.000 0.000
Ca1 0.000 0.500 0.500
Bi1 0.500 0.000 0.500
Pb1 0.500 0.500 0.000
```

=====

Compound: NaCaBiPd
Source: Alexandria
Functional: PBE
Structure: optimized geometry

Output
energy of formation from the pure elements	-0.5189	eV/atom

The structure in CIF format:
```
data_NaCaBiPd
_space_group_name_H-M_alt 'F -4 3 m'
_space_group_IT_number 216
_space_group_name_Hall 'F -4 2 3'
_cell_length_a 7.157
_cell_length_b 7.157
_cell_length_c 7.157
_cell_angle_alpha 90.00
_cell_angle_beta 90.00
_cell_angle_gamma 90.00
loop_
_atom_site_label
_atom_site_fract_x
_atom_site_fract_y
_atom_site_fract_z
Na1 0.000 0.000 0.000
Ca1 0.250 0.250 0.750
Bi1 0.250 0.250 0.250
Pd1 0.000 0.000 0.500
```

=====

Compound: RbNa2CaBi
Source: Alexandria
Functional: PBE
Structure: optimized geometry

Output
energy of formation from the pure elements	-0.1957	eV/atom

The structure in CIF format:
```
data_RbNa2CaBi
_space_group_name_H-M_alt 'P 4/m m m'
_space_group_IT_number 123
_space_group_name_Hall '-P 4 2'
_cell_length_a 6.288
_cell_length_b 6.288
_cell_length_c 6.189
_cell_angle_alpha 90.00
_cell_angle_beta 90.00
_cell_angle_gamma 90.00
loop_
_atom_site_label
_atom_site_fract_x
_atom_site_fract_y
_atom_site_fract_z
Rb1 0.000 0.000 0.000
Na1 0.000 0.500 0.500
Ca1 0.500 0.500 0.000
Bi1 0.500 0.500 0.500
```

=====

Compound: NaCa2BiRh
Source: Alexandria
Functional: PBE
Structure: optimized geometry

Output
energy of formation from the pure elements	-0.3127	eV/atom

The structure in CIF format:
```
data_NaCa2BiRh
_space_group_name_H-M_alt 'P 4/m m m'
_space_group_IT_number 123
_space_group_name_Hall '-P 4 2'
_cell_length_a 5.544
_cell_length_b 5.544
_cell_length_c 5.233
_cell_angle_alpha 90.00
_cell_angle_beta 90.00
_cell_angle_gamma 90.00
loop_
_atom_site_label
_atom_site_fract_x
_atom_site_fract_y
_atom_site_fract_z
Na1 0.000 0.000 0.000
Ca1 0.000 0.500 0.500
Bi1 0.500 0.500 0.000
Rh1 0.500 0.500 0.500
```

=====

Compound: Na2CaBiS4
Source: Alexandria
Functional: PBE
Structure: optimized geometry

Output
raw formation energy	-1.04	eV/atom

The structure in CIF format:
```
data_Na2CaBiS4
_space_group_name_H-M_alt 'I m m a'
_space_group_IT_number 74
_space_group_name_Hall '-I 2b 2'
_cell_length_a 8.010
_cell_length_b 8.222
_cell_length_c 11.445
_cell_angle_alpha 90.00
_cell_angle_beta 90.00
_cell_angle_gamma 90.00
loop_
_atom_site_label
_atom_site_fract_x
_atom_site_fract_y
_atom_site_fract_z
Na1 0.000 0.000 0.000
Na2 0.250 0.250 0.250
Ca1 0.000 0.000 0.500
Bi1 0.250 0.250 0.750
S1 0.000 0.011 0.748
S2 0.244 0.250 0.512
```

=====

Compound: Na3CaBi2S6
Source: Alexandria
Functional: PBE
Structure: optimized geometry

Output
raw formation energy	-0.96	eV/atom

The structure in CIF format:
```
data_Na3CaBi2S6
_space_group_name_H-M_alt 'C 1 2/m 1'
_space_group_IT_number 12
_cell_length_a 6.984
_cell_length_b 12.099
_cell_length_c 7.176
_cell_angle_alpha 90.00
_cell_angle_beta 108.98
_cell_angle_gamma 90.00
loop_
_space_group_symop_operation_xyz
'x,y,z'
'-x,-y,-z'
'-x,y,-z'
'x,-y,z'
'x+1/2,y+1/2,z'
'-x+1/2,-y+1/2,-z'
'-x+1/2,y+1/2,-z'
'x+1/2,-y+1/2,z'
loop_
_atom_site_label
_atom_site_fract_x
_atom_site_fract_y
_atom_site_fract_z
Na1 0.000 0.000 0.000
Na2 0.000 0.330 0.000
Ca1 0.000 0.500 0.500
Bi1 0.000 0.167 0.500
S1 0.241 0.000 0.737
S2 0.247 0.331 0.734
```